An optimized crystal structure of K2PrAlTe4, computed with PBE-GGA.

Results
Space group: No. 74
Formation energy (no corrections), meV per atom: -941
Calculated total energy, eV/cell: -61.63

Cell lengths 9.2709, 9.2709, 9.2709 Å; angles 122.82, 117.97, 89.37 degrees
Element x y z (fractional)
1 K 0.0000 0.0000 0.0000
2 K 0.5000 0.0000 0.0000
3 K 0.5000 0.0000 0.5000
4 K 0.5000 0.5000 0.5000
5 Pr 0.0000 0.5000 0.5000
6 Pr 0.5000 0.5000 0.0000
7 Al 0.0000 0.0000 0.5000
8 Al 0.0000 0.5000 0.0000
9 Te 0.1934 0.7441 0.4493
10 Te 0.2051 0.2559 0.9493
11 Te 0.2273 0.2398 0.5125
12 Te 0.2273 0.7147 0.9875
13 Te 0.7727 0.2853 0.0125
14 Te 0.7727 0.7602 0.4875
15 Te 0.7949 0.7441 0.0507
16 Te 0.8066 0.2559 0.5507

---

An optimized crystal structure of IrAuF, computed with PBE-GGA.

Results
Space group: No. 6
Formation energy (no corrections), meV per atom: -173
Calculated total energy, eV/cell: -29.06

Cell lengths 4.0228, 2.8410, 7.7757 Å; angles 90.00, 98.38, 90.00 degrees
Element x y z (fractional)
1 Ir 0.0000 0.0000 0.0000
2 Ir 0.4881 0.5000 0.1630
3 Au 0.4455 0.5000 0.8100
4 Au 0.8913 0.0000 0.6237
5 F 0.3719 0.5000 0.3984
6 F 0.8528 0.0000 0.3314

---

An optimized crystal structure of LiTaCu2Au, computed with PBE-GGA.

Results
Space group: No. 123
ΔE_f, meV per atom: 915.4
Calculated total energy, eV/cell: -20.66

Cell lengths 4.0572, 4.0572, 4.7080 Å; angles 90.00, 90.00, 90.00 degrees
Element x y z (fractional)
1 Li 0.0000 0.0000 0.0000
2 Ta 0.0000 0.0000 0.5000
3 Cu 0.0000 0.5000 0.0000
4 Cu 0.5000 0.0000 0.0000
5 Au 0.5000 0.5000 0.5000

---

An optimized crystal structure of MgVAg2, computed with PBE-GGA.

Results
Space group: No. 122
ΔE_f, meV per atom: 557.4
Calculated total energy, eV/cell: -56.74

Cell lengths 4.0084, 4.0084, 19.6263 Å; angles 90.00, 90.00, 90.00 degrees
Element x y z (fractional)
1 Mg 0.0000 0.0000 0.0000
2 Mg 0.0000 0.5000 0.2500
3 Mg 0.5000 0.0000 0.7500
4 Mg 0.5000 0.5000 0.5000
5 V 0.0000 0.0000 0.5000
6 V 0.0000 0.5000 0.7500
7 V 0.5000 0.0000 0.2500
8 V 0.5000 0.5000 0.0000
9 Ag 0.2485 0.2500 0.1250
10 Ag 0.2500 0.7485 0.3750
11 Ag 0.2500 0.7515 0.8750
12 Ag 0.2515 0.2500 0.6250
13 Ag 0.7485 0.7500 0.6250
14 Ag 0.7500 0.2485 0.8750
15 Ag 0.7500 0.2515 0.3750
16 Ag 0.7515 0.7500 0.1250